{
  "formula": "TiNiP2O",
  "functional": "GGA+U",
  "state": "optimized geometry",
  "magnetic_moment_mub_per_cell": 0.83,
  "dos_at_fermi_per_ev_cell": 4.01,
  "final_energy_ev_per_atom": -5.365,
  "relative_energy_mev_per_atom": 0,
  "mass_density_g_cm3": 3.497,
  "lattice": [[-2.6437, -3.7129, 1.8515], [3.3310, -3.2083, -1.6776], [1.8200, 0.2591, 3.1184]],
  "species": ["Ni", "O", "P", "P", "Ti"],
  "frac_coords": [[0.5000, 0.5000, 0.5000], [0.0000, 0.0000, 0.5000], [0.0000, 0.5000, 0.0000], [0.5000, 0.0000, 0.0000], [0.0000, 0.0000, 0.0000]]
}